Compound: PmZn9Rh2
Source: Alexandria
Functional: PBE
Structure: optimized geometry

## Properties
The total energy comes out at -70.0 eV/cell. The energy above the most stable polymorph in this dataset is 0.0 meV per atom. Its space-group type is I4_1/amd.

Unit cell a=8.2149 b=8.2149 c=8.2149 alpha=100.36 beta=100.36 gamma=129.82
Closest atoms and distances in Å follow each position.
Fractional coordinates of all 24 atoms:
Pm 0.3750 0.6250 0.7500  18 Zn 3.31-3.48
Pm 0.6250 0.3750 0.2500  18 Zn 3.31-3.48
Zn 0.1250 0.8750 0.2500  4 Rh 2.77, 8 Zn 2.86
Zn 0.1385 0.5600 0.3354  6 Zn 2.56-2.86, 2 Rh 2.60-2.61
Zn 0.1385 0.8031 0.5785  6 Zn 2.56-2.86, 2 Rh 2.60-2.61
Zn 0.1969 0.2755 0.3354  6 Zn 2.56-2.86, 2 Rh 2.60-2.61
Zn 0.1969 0.8615 0.9215  6 Zn 2.56-2.86, 2 Rh 2.60-2.61
Zn 0.2755 0.1969 0.8354  6 Zn 2.56-2.86, 2 Rh 2.60-2.61
Zn 0.2755 0.4400 0.0785  6 Zn 2.56-2.86, 2 Rh 2.60-2.61
Zn 0.4400 0.2755 0.5785  6 Zn 2.56-2.86, 2 Rh 2.60-2.61
Zn 0.4400 0.8615 0.1646  6 Zn 2.56-2.86, 2 Rh 2.60-2.61
Zn 0.5600 0.1385 0.8354  6 Zn 2.56-2.86, 2 Rh 2.60-2.61
Zn 0.5600 0.7245 0.4215  6 Zn 2.56-2.86, 2 Rh 2.60-2.61
Zn 0.7245 0.5600 0.9215  6 Zn 2.56-2.86, 2 Rh 2.60-2.61
Zn 0.7245 0.8031 0.1646  6 Zn 2.56-2.86, 2 Rh 2.60-2.61
Zn 0.8031 0.1385 0.0785  6 Zn 2.56-2.86, 2 Rh 2.60-2.61
Zn 0.8031 0.7245 0.6646  6 Zn 2.56-2.86, 2 Rh 2.60-2.61
Zn 0.8615 0.1969 0.4215  6 Zn 2.56-2.86, 2 Rh 2.60-2.61
Zn 0.8615 0.4400 0.6646  6 Zn 2.56-2.86, 2 Rh 2.60-2.61
Zn 0.8750 0.1250 0.7500  4 Rh 2.77, 8 Zn 2.86
Rh 0.0000 0.0000 0.0000  10 Zn 2.60-2.77
Rh 0.0000 0.0000 0.5000  10 Zn 2.60-2.77
Rh 0.0000 0.5000 0.0000  10 Zn 2.60-2.77
Rh 0.5000 0.0000 0.5000  10 Zn 2.60-2.77

Compound: Cs2CaCd3Bi4
Source: Alexandria
Functional: PBE
Structure: optimized geometry

## Properties
The total energy comes out at -25.6 eV/cell. Its space-group type is P-4m2.

Unit cell a=5.3974 b=5.3974 c=12.5686 alpha=90.00 beta=90.00 gamma=90.00
Closest atoms and distances in Å follow each position.
Fractional coordinates of all 10 atoms:
Cs 0.0000 0.5000 0.2407  8 Bi 4.05-4.13, 6 Cd 4.09-4.23, 2 Ca 4.23
Cs 0.5000 0.0000 0.7593  8 Bi 4.05-4.13, 6 Cd 4.09-4.23, 2 Ca 4.23
Ca 0.0000 0.0000 0.5000  4 Bi 3.18
Cd 0.0000 0.5000 0.8764  5 Bi 3.04-3.11
Cd 0.5000 0.0000 0.1236  5 Bi 3.04-3.11
Cd 0.5000 0.5000 0.5000  4 Bi 3.18
Bi 0.0000 0.0000 0.0000  4 Cd 3.11
Bi 0.0000 0.5000 0.6343  3 Cd 3.04-3.18, 2 Ca 3.18
Bi 0.5000 0.0000 0.3657  3 Cd 3.04-3.18, 2 Ca 3.18
Bi 0.5000 0.5000 0.0000  4 Cd 3.11

Compound: Pm2Pr4Al
Source: Alexandria
Functional: PBE
Structure: optimized geometry

## Properties
The total energy comes out at -32.4 eV/cell. Its space-group type is R-3m.

Unit cell a=19.9969 b=19.9969 c=19.9969 alpha=10.67 beta=10.67 gamma=10.67
Closest atoms and distances in Å follow each position.
Fractional coordinates of all 7 atoms:
Pm 0.1916 0.1916 0.1916  9 Pm 3.66-3.72, 3 Pr 3.67
Pm 0.8084 0.8084 0.8084  9 Pm 3.66-3.72, 3 Pr 3.67
Pr 0.0919 0.0919 0.0919  3 Pm 3.67, 9 Pr 3.72-3.83
Pr 0.2946 0.2946 0.2946  3 Al 3.15
Pr 0.7054 0.7054 0.7054  3 Al 3.15
Pr 0.9081 0.9081 0.9081  3 Pm 3.67, 9 Pr 3.72-3.83
Al 0.0000 0.0000 0.0000  6 Pr 3.15

Let's list DFT formation energy in order: -0.34 -0.36 0.00 eV/atom.